Entry 1:
# Cs6I2BrO | the Alexandria database | GGA-PBE | relaxed
# Electronic total energy (eV/f.u.): -26.94
data_Cs6I2BrO
_chemical_formula_sum 'Cs36 I12 Br6 O6'
_symmetry_space_group_name_H-M 'R -3 m'
_symmetry_Int_Tables_number 166
_symmetry_space_group_name_Hall '-R 3 2"'
_cell_length_a 8.7894
_cell_length_b 8.7894
_cell_length_c 50.9924
_cell_angle_alpha 90.00
_cell_angle_beta 90.00
_cell_angle_gamma 120.00
loop_
_atom_site_label
_atom_site_type_symbol
_atom_site_fract_x
_atom_site_fract_y
_atom_site_fract_z
Cs1 Cs 0.0190 0.5095 0.1327
Cs2 Cs 0.0241 0.5121 0.7018
I1 I 0.0000 0.0000 0.1421
I2 I 0.0000 0.0000 0.2591
Br1 Br 0.0000 0.0000 0.4148
O1 O 0.0000 0.0000 0.0000
O2 O 0.0000 0.0000 0.5000

---

Entry 2:
# Cs2PI2Br4 | the Alexandria database | GGA-PBE | relaxed
# Electronic total energy (eV/f.u.): -24.60
data_Cs2PI2Br4
_chemical_formula_sum 'Cs4 P2 I4 Br8'
_symmetry_space_group_name_H-M 'I 4/m m m'
_symmetry_Int_Tables_number 139
_symmetry_space_group_name_Hall '-I 4 2'
_cell_length_a 8.132
_cell_length_b 8.132
_cell_length_c 10.630
_cell_angle_alpha 90.00
_cell_angle_beta 90.00
_cell_angle_gamma 90.00
loop_
_atom_site_label
_atom_site_type_symbol
_atom_site_fract_x
_atom_site_fract_y
_atom_site_fract_z
Cs1 Cs 0.000 0.500 0.250
P1 P 0.000 0.000 0.000
I1 I 0.000 0.000 0.255
Br1 Br 0.218 0.218 0.000